Model P:
{
  "formula": "Pr2DyHo2",
  "functional": "PBE",
  "state": "relaxed",
  "dos_ef_per_ev_atom": 1.50,
  "spacegroup": "Cmcm",
  "cell": [[3.450, -8.141, 0.000], [3.450, 8.141, 0.000], [0.000, 0.000, 6.272]],
  "species": ["Pr", "Pr", "Pr", "Pr", "Dy", "Dy", "Ho", "Ho", "Ho", "Ho"],
  "fractional_positions": [[0.100, 0.900, 0.750], [0.330, 0.670, 0.250], [0.670, 0.330, 0.750], [0.900, 0.100, 0.250], [0.500, 0.500, 0.000], [0.500, 0.500, 0.500], [0.091, 0.431, 0.750], [0.431, 0.091, 0.250], [0.569, 0.909, 0.750], [0.909, 0.569, 0.250]]
}

=====

Model Q:
{
  "formula": "Pr2DyHo2",
  "functional": "PBE",
  "state": "relaxed",
  "dos_ef_per_ev_atom": 1.28,
  "spacegroup": "C2/m",
  "cell": [[3.115, -1.800, 0.000], [3.115, 1.800, 0.000], [-0.013, 0.000, 14.733]],
  "species": ["Pr", "Pr", "Dy", "Ho", "Ho"],
  "fractional_positions": [[0.168, 0.168, 0.393], [0.832, 0.832, 0.607], [0.500, 0.500, 0.000], [0.165, 0.165, 0.807], [0.835, 0.835, 0.193]]
}

=====

Stability summary: most stable model Q, least stable model P.

=====

Model P:
{
  "formula": "Pr5Dy4Ho2",
  "functional": "PBE",
  "state": "relaxed",
  "dos_ef_per_ev_atom": 1.39,
  "spacegroup": "C2/m",
  "cell": [[8.900, -1.784, 0.000], [8.900, 1.784, 0.000], [-0.812, 0.000, 11.666]],
  "species": ["Pr", "Pr", "Pr", "Pr", "Pr", "Dy", "Dy", "Dy", "Dy", "Ho", "Ho"],
  "fractional_positions": [[0.000, 0.000, 0.000], [0.323, 0.323, 0.928], [0.403, 0.403, 0.464], [0.597, 0.597, 0.536], [0.677, 0.677, 0.072], [0.141, 0.141, 0.795], [0.464, 0.464, 0.739], [0.536, 0.536, 0.261], [0.859, 0.859, 0.205], [0.216, 0.216, 0.353], [0.784, 0.784, 0.647]]
}

=====

Model Q:
{
  "formula": "Pr5Dy4Ho2",
  "functional": "PBE",
  "state": "relaxed",
  "dos_ef_per_ev_atom": 1.61,
  "spacegroup": "Immm",
  "cell": [[-1.770, 4.608, 11.834], [1.770, -4.608, 11.834], [1.770, 4.608, -11.834]],
  "species": ["Pr", "Pr", "Pr", "Pr", "Pr", "Dy", "Dy", "Dy", "Dy", "Ho", "Ho"],
  "fractional_positions": [[0.000, 0.000, 0.000], [0.055, 0.353, 0.702], [0.349, 0.647, 0.702], [0.651, 0.353, 0.298], [0.945, 0.647, 0.298], [0.313, 0.500, 0.813], [0.403, 0.903, 0.500], [0.597, 0.097, 0.500], [0.687, 0.500, 0.187], [0.270, 0.770, 0.500], [0.730, 0.230, 0.500]]
}

=====

Stability summary: most stable model P, least stable model Q.

=====

Model P:
{
  "formula": "Pr4Dy2Ho3",
  "functional": "PBE",
  "state": "relaxed",
  "dos_ef_per_ev_atom": 1.83,
  "spacegroup": "P3m1",
  "cell": [[3.623, 0.000, 0.000], [-1.811, 3.138, 0.000], [0.000, 0.000, 26.872]],
  "species": ["Pr", "Pr", "Pr", "Pr", "Dy", "Dy", "Ho", "Ho", "Ho"],
  "fractional_positions": [[0.000, 0.000, 0.000], [0.000, 0.000, 0.216], [0.333, 0.667, 0.334], [0.333, 0.667, 0.552], [0.000, 0.000, 0.662], [0.000, 0.000, 0.869], [0.000, 0.000, 0.442], [0.333, 0.667, 0.107], [0.333, 0.667, 0.767]]
}

=====

Model Q:
{
  "formula": "Pr4Dy2Ho3",
  "functional": "PBE",
  "state": "relaxed",
  "dos_ef_per_ev_atom": 1.45,
  "spacegroup": "P-1",
  "cell": [[7.134, 0.000, 0.000], [-1.748, 8.387, 0.000], [-1.860, -2.081, 10.073]],
  "species": ["Pr", "Pr", "Pr", "Pr", "Pr", "Pr", "Pr", "Pr", "Dy", "Dy", "Dy", "Dy", "Ho", "Ho", "Ho", "Ho", "Ho", "Ho"],
  "fractional_positions": [[0.023, 0.164, 0.444], [0.141, 0.828, 0.235], [0.324, 0.475, 0.335], [0.443, 0.164, 0.109], [0.557, 0.836, 0.891], [0.676, 0.525, 0.665], [0.859, 0.172, 0.765], [0.977, 0.836, 0.556], [0.059, 0.834, 0.891], [0.175, 0.524, 0.663], [0.825, 0.476, 0.337], [0.941, 0.166, 0.109], [0.250, 0.500, 0.998], [0.362, 0.176, 0.761], [0.475, 0.836, 0.556], [0.525, 0.164, 0.444], [0.638, 0.824, 0.239], [0.750, 0.500, 0.002]]
}

=====

Stability summary: most stable model Q, least stable model P.

=====

Model P:
{
  "formula": "Pr5Dy3Ho2",
  "functional": "PBE",
  "state": "relaxed",
  "dos_ef_per_ev_atom": 1.70,
  "spacegroup": "C2/c",
  "cell": [[5.392, -7.456, 0.000], [5.392, 7.456, 0.000], [-5.392, 0.000, 8.551]],
  "species": ["Pr", "Pr", "Pr", "Pr", "Pr", "Pr", "Pr", "Pr", "Pr", "Pr", "Dy", "Dy", "Dy", "Dy", "Dy", "Dy", "Ho", "Ho", "Ho", "Ho"],
  "fractional_positions": [[0.018, 0.982, 0.750], [0.123, 0.382, 0.757], [0.228, 0.772, 0.750], [0.382, 0.123, 0.257], [0.478, 0.522, 0.250], [0.522, 0.478, 0.750], [0.618, 0.877, 0.743], [0.772, 0.228, 0.250], [0.877, 0.618, 0.243], [0.982, 0.018, 0.250], [0.220, 0.471, 0.442], [0.272, 0.728, 0.250], [0.471, 0.220, 0.942], [0.529, 0.780, 0.058], [0.728, 0.272, 0.750], [0.780, 0.529, 0.558], [0.025, 0.282, 0.059], [0.282, 0.025, 0.559], [0.718, 0.975, 0.441], [0.975, 0.718, 0.941]]
}

=====

Model Q:
{
  "formula": "Pr5Dy3Ho2",
  "functional": "PBE",
  "state": "relaxed",
  "dos_ef_per_ev_atom": 1.46,
  "spacegroup": "Ibam",
  "cell": [[-4.741, 6.876, 5.521], [4.741, -6.876, 5.521], [4.741, 6.876, -5.521]],
  "species": ["Pr", "Pr", "Pr", "Pr", "Pr", "Pr", "Pr", "Pr", "Pr", "Pr", "Dy", "Dy", "Dy", "Dy", "Dy", "Dy", "Ho", "Ho", "Ho", "Ho"],
  "fractional_positions": [[0.004, 0.750, 0.254], [0.131, 0.106, 0.237], [0.250, 0.250, 0.000], [0.369, 0.606, 0.975], [0.496, 0.750, 0.746], [0.504, 0.250, 0.254], [0.631, 0.394, 0.025], [0.750, 0.750, 0.000], [0.869, 0.894, 0.763], [0.996, 0.250, 0.746], [0.123, 0.752, 0.874], [0.250, 0.750, 0.500], [0.377, 0.252, 0.629], [0.623, 0.748, 0.371], [0.750, 0.250, 0.500], [0.877, 0.248, 0.126], [0.118, 0.415, 0.533], [0.382, 0.915, 0.297], [0.618, 0.085, 0.703], [0.882, 0.585, 0.467]]
}

=====

Stability summary: most stable model P, least stable model Q.

=====

Model P:
{
  "formula": "PrDy6Ho",
  "functional": "PBE",
  "state": "relaxed",
  "dos_ef_per_ev_atom": 1.56,
  "spacegroup": "P-1",
  "cell": [[6.551, 0.000, 0.000], [-0.012, 6.555, 0.000], [-3.222, -3.149, 5.992]],
  "species": ["Pr", "Dy", "Dy", "Dy", "Dy", "Dy", "Dy", "Ho"],
  "fractional_positions": [[0.000, 0.000, 0.000], [0.236, 0.562, 0.472], [0.253, 0.501, 0.999], [0.268, 0.092, 0.535], [0.732, 0.908, 0.465], [0.747, 0.499, 0.001], [0.764, 0.438, 0.528], [0.500, 0.000, 0.000]]
}

=====

Model Q:
{
  "formula": "PrDy6Ho",
  "functional": "PBE",
  "state": "relaxed",
  "dos_ef_per_ev_atom": 1.49,
  "spacegroup": "P4/mmm",
  "cell": [[5.039, 0.000, 0.000], [0.000, 5.039, 0.000], [0.000, 0.000, 10.067]],
  "species": ["Pr", "Dy", "Dy", "Dy", "Dy", "Dy", "Dy", "Ho"],
  "fractional_positions": [[0.000, 0.000, 0.000], [0.000, 0.500, 0.253], [0.000, 0.500, 0.747], [0.500, 0.000, 0.253], [0.500, 0.000, 0.747], [0.500, 0.500, 0.000], [0.500, 0.500, 0.500], [0.000, 0.000, 0.500]]
}

=====

Stability summary: most stable model Q, least stable model P.

=====

Model P:
{
  "formula": "PrDy6Ho3",
  "functional": "PBE",
  "state": "relaxed",
  "dos_ef_per_ev_atom": 1.39,
  "spacegroup": "Cmc2_1",
  "cell": [[5.510, -9.469, 0.000], [5.510, 9.469, 0.000], [0.000, 0.000, 6.189]],
  "species": ["Pr", "Pr", "Dy", "Dy", "Dy", "Dy", "Dy", "Dy", "Dy", "Dy", "Dy", "Dy", "Dy", "Dy", "Ho", "Ho", "Ho", "Ho", "Ho", "Ho"],
  "fractional_positions": [[0.206, 0.794, 0.500], [0.794, 0.206, 0.000], [0.039, 0.460, 0.715], [0.046, 0.954, 0.262], [0.285, 0.715, 0.990], [0.289, 0.381, 0.881], [0.381, 0.289, 0.381], [0.460, 0.039, 0.215], [0.540, 0.961, 0.715], [0.619, 0.711, 0.881], [0.711, 0.619, 0.381], [0.715, 0.285, 0.490], [0.954, 0.046, 0.762], [0.961, 0.540, 0.215], [0.065, 0.283, 0.307], [0.283, 0.065, 0.807], [0.390, 0.610, 0.422], [0.610, 0.390, 0.922], [0.717, 0.935, 0.307], [0.935, 0.717, 0.807]]
}

=====

Model Q:
{
  "formula": "PrDy6Ho3",
  "functional": "PBE",
  "state": "relaxed",
  "dos_ef_per_ev_atom": 2.10,
  "spacegroup": "R32",
  "cell": [[4.902, 2.830, 3.906], [-4.902, 2.830, 3.906], [0.000, -5.660, 3.906]],
  "species": ["Pr", "Dy", "Dy", "Dy", "Dy", "Dy", "Dy", "Ho", "Ho", "Ho"],
  "fractional_positions": [[0.000, 0.000, 0.000], [0.000, 0.332, 0.668], [0.170, 0.830, 0.500], [0.332, 0.668, 0.000], [0.500, 0.170, 0.830], [0.668, 0.000, 0.332], [0.830, 0.500, 0.170], [0.254, 0.254, 0.254], [0.500, 0.500, 0.500], [0.746, 0.746, 0.746]]
}

=====

Stability summary: most stable model P, least stable model Q.

=====

Model P:
{
  "formula": "Pr3Dy5Ho4",
  "functional": "PBE",
  "state": "relaxed",
  "dos_ef_per_ev_atom": 1.32,
  "spacegroup": "C2/m",
  "cell": [[8.996, -2.873, 0.000], [8.996, 2.873, 0.000], [-3.966, 0.000, 7.748]],
  "species": ["Pr", "Pr", "Pr", "Dy", "Dy", "Dy", "Dy", "Dy", "Ho", "Ho", "Ho", "Ho"],
  "fractional_positions": [[0.000, 0.000, 0.000], [0.314, 0.314, 0.779], [0.686, 0.686, 0.221], [0.100, 0.100, 0.436], [0.158, 0.158, 0.885], [0.500, 0.500, 0.000], [0.842, 0.842, 0.115], [0.900, 0.900, 0.564], [0.295, 0.295, 0.350], [0.467, 0.467, 0.306], [0.533, 0.533, 0.694], [0.705, 0.705, 0.650]]
}

=====

Model Q:
{
  "formula": "Pr3Dy5Ho4",
  "functional": "PBE",
  "state": "relaxed",
  "dos_ef_per_ev_atom": 1.30,
  "spacegroup": "P-1",
  "cell": [[6.197, 0.000, 0.000], [0.024, 7.155, 0.000], [0.023, 0.001, 8.761]],
  "species": ["Pr", "Pr", "Pr", "Dy", "Dy", "Dy", "Dy", "Dy", "Ho", "Ho", "Ho", "Ho"],
  "fractional_positions": [[0.000, 0.000, 0.000], [0.166, 0.251, 0.334], [0.834, 0.749, 0.666], [0.000, 0.500, 0.000], [0.335, 0.000, 0.667], [0.499, 0.748, 0.000], [0.501, 0.252, 0.000], [0.665, 0.000, 0.333], [0.169, 0.749, 0.333], [0.334, 0.500, 0.667], [0.666, 0.500, 0.333], [0.831, 0.251, 0.667]]
}

=====

Stability summary: most stable model Q, least stable model P.

=====

Model P:
{
  "formula": "Pr4DyHo5",
  "functional": "PBE",
  "state": "relaxed",
  "dos_ef_per_ev_atom": 1.37,
  "spacegroup": "P-1",
  "cell": [[3.537, 0.000, 0.000], [-1.766, 8.597, 0.000], [-0.001, -0.005, 11.354]],
  "species": ["Pr", "Pr", "Pr", "Pr", "Dy", "Ho", "Ho", "Ho", "Ho", "Ho"],
  "fractional_positions": [[0.033, 0.066, 0.250], [0.343, 0.682, 0.250], [0.657, 0.318, 0.750], [0.967, 0.934, 0.750], [0.500, 0.000, 0.500], [0.172, 0.346, 0.048], [0.173, 0.346, 0.452], [0.500, 0.000, 0.000], [0.827, 0.654, 0.548], [0.828, 0.654, 0.952]]
}

=====

Model Q:
{
  "formula": "Pr4DyHo5",
  "functional": "PBE",
  "state": "relaxed",
  "dos_ef_per_ev_atom": 1.42,
  "spacegroup": "P4/mmm",
  "cell": [[3.616, 0.000, 0.000], [0.000, 3.616, 0.000], [0.000, 0.000, 25.267]],
  "species": ["Pr", "Pr", "Pr", "Pr", "Dy", "Ho", "Ho", "Ho", "Ho", "Ho"],
  "fractional_positions": [[0.000, 0.000, 0.101], [0.000, 0.000, 0.302], [0.000, 0.000, 0.698], [0.000, 0.000, 0.899], [0.000, 0.000, 0.500], [0.500, 0.500, 0.000], [0.500, 0.500, 0.202], [0.500, 0.500, 0.403], [0.500, 0.500, 0.597], [0.500, 0.500, 0.798]]
}

=====

Stability summary: most stable model Q, least stable model P.